# 1
A plane-wave DFT calculation with PBE was carried out for crystalline CsK2InIr at its relaxed geometry.

```
data_CsK2InIr
_symmetry_space_group_name_H-M 'P 4/m m m'
_symmetry_Int_Tables_number 123
_symmetry_space_group_name_Hall '-P 4 2'
_cell_length_a 6.543
_cell_length_b 6.543
_cell_length_c 5.141
_cell_angle_alpha 90.00
_cell_angle_beta 90.00
_cell_angle_gamma 90.00
loop_
_atom_site_label
_atom_site_fract_x
_atom_site_fract_y
_atom_site_fract_z
_atom_site_occupancy
Cs1 0.000 0.000 0.000 1
K1 0.000 0.500 0.500 1
In1 0.500 0.500 0.500 1
Ir1 0.500 0.500 0.000 1
```

Summary:
ΔE_f, meV/atom: 445



# 2
A plane-wave DFT calculation with PBE was carried out for crystalline HoGeRh2 at its relaxed geometry.

```
data_HoGeRh2
_symmetry_space_group_name_H-M 'P 4/m m m'
_symmetry_Int_Tables_number 123
_symmetry_space_group_name_Hall '-P 4 2'
_cell_length_a 4.305
_cell_length_b 4.305
_cell_length_c 3.629
_cell_angle_alpha 90.00
_cell_angle_beta 90.00
_cell_angle_gamma 90.00
loop_
_atom_site_label
_atom_site_fract_x
_atom_site_fract_y
_atom_site_fract_z
_atom_site_occupancy
Ho1 0.000 0.000 0.000 1
Ge1 0.500 0.500 0.000 1
Rh1 0.000 0.500 0.500 1
```

Summary:
ΔE_f, meV/atom: -750



# 3
A plane-wave DFT calculation with PBE was carried out for crystalline PmYRhCl at its relaxed geometry.

```
data_PmYRhCl
_symmetry_space_group_name_H-M 'R 3 m'
_symmetry_Int_Tables_number 160
_symmetry_space_group_name_Hall 'R 3 -2"'
_cell_length_a 3.9953
_cell_length_b 3.9953
_cell_length_c 22.8363
_cell_angle_alpha 90.00
_cell_angle_beta 90.00
_cell_angle_gamma 120.00
loop_
_atom_site_label
_atom_site_fract_x
_atom_site_fract_y
_atom_site_fract_z
_atom_site_occupancy
Pm1 0.0000 0.0000 0.0000 1
Y1 0.0000 0.0000 0.8003 1
Rh1 0.0000 0.0000 0.4011 1
Cl1 0.0000 0.0000 0.2267 1
```

Summary:
E_form (uncorrected), meV/atom: -1147



# 4
A plane-wave DFT calculation with PBE was carried out for crystalline UTeRu at its relaxed geometry.

```
data_UTeRu
_symmetry_space_group_name_H-M 'F -4 3 m'
_symmetry_Int_Tables_number 216
_symmetry_space_group_name_Hall 'F -4 2 3'
_cell_length_a 6.526
_cell_length_b 6.526
_cell_length_c 6.526
_cell_angle_alpha 90.00
_cell_angle_beta 90.00
_cell_angle_gamma 90.00
loop_
_atom_site_label
_atom_site_fract_x
_atom_site_fract_y
_atom_site_fract_z
_atom_site_occupancy
U1 0.000 0.000 0.000 1
Te1 0.000 0.000 0.500 1
Ru1 0.250 0.250 0.750 1
```

Summary:
Energy relative to the lowest polymorph listed for this composition, eV per atom: 0.000
E_form (uncorrected), meV/atom: -290



# 5
A plane-wave DFT calculation with PBE was carried out for crystalline Mn2CoOs at its relaxed geometry.

```
data_Mn2CoOs
_symmetry_space_group_name_H-M 'R 3 m'
_symmetry_Int_Tables_number 160
_symmetry_space_group_name_Hall 'R 3 -2"'
_cell_length_a 2.6320
_cell_length_b 2.6320
_cell_length_c 24.7406
_cell_angle_alpha 90.00
_cell_angle_beta 90.00
_cell_angle_gamma 120.00
loop_
_atom_site_label
_atom_site_fract_x
_atom_site_fract_y
_atom_site_fract_z
_atom_site_occupancy
Mn1 0.0000 0.0000 0.0000 1
Mn2 0.0000 0.0000 0.2547 1
Co1 0.0000 0.0000 0.7478 1
Os1 0.0000 0.0000 0.5010 1
```

Summary:
ΔE_f, meV/atom: 162



# 6
A plane-wave DFT calculation with PBE was carried out for crystalline InGaCl at its relaxed geometry.

```
data_InGaCl
_symmetry_space_group_name_H-M 'C 1 2/m 1'
_symmetry_Int_Tables_number 12
_cell_length_a 10.069
_cell_length_b 4.951
_cell_length_c 6.261
_cell_angle_alpha 90.00
_cell_angle_beta 94.39
_cell_angle_gamma 90.00
loop_
_symmetry_equiv_pos_as_xyz
'x,y,z'
'-x,-y,-z'
'-x,y,-z'
'x,-y,z'
'x+1/2,y+1/2,z'
'-x+1/2,-y+1/2,-z'
'-x+1/2,y+1/2,-z'
'x+1/2,-y+1/2,z'
loop_
_atom_site_label
_atom_site_fract_x
_atom_site_fract_y
_atom_site_fract_z
_atom_site_occupancy
In1 0.000 0.000 0.000 1
In2 0.000 0.000 0.500 1
Ga1 0.175 0.500 0.484 1
Cl1 0.166 0.500 0.099 1
```

Summary:
Energy relative to the lowest polymorph listed for this composition, eV per atom: 0.001
E_form (uncorrected), meV/atom: -412



Let's list electronic total energy in order: -2.484, -6.724, -6.250, -8.192, -9.007, -2.950 eV/atom.